No. 1
PBE-GGA Tb7Dy4Er2, optimized geometry; space-group type = P-31m, No. 162; calculated formation energy = 2.14 eV/f.u.; total DFT energy (no corrections) = -4.446 eV per atom; density of states at the Fermi level = 17.0 states/eV/f.u.
1.0
-0.688 -0.166 6.016
2.472 -4.710 -2.897
11.885 5.312 1.506
Tb Dy Er
7 4 2
Cartesian
10.884 1.154 -0.669
0.000 0.000 0.000
2.330 1.093 2.504
3.717 -1.958 2.317
8.867 4.053 5.018
9.952 2.394 2.308
3.474 -0.552 -0.722
7.362 -0.540 0.827
7.220 3.227 0.915
3.977 1.919 6.607
6.308 0.975 3.798
0.365 -1.681 3.045
1.419 -3.196 0.074



No. 2
PBE-GGA Tb4Dy3Er5, optimized geometry; space-group type = C2/m, No. 12; calculated formation energy = 2.92 eV/f.u.; total DFT energy (no corrections) = -4.352 eV per atom; density of states at the Fermi level = 19.2 states/eV/f.u.; ΔE to the lowest computed polymorph = 225 meV/atom
1.0
-4.940 -3.015 0.763
1.746 -8.154 1.411
-4.165 3.194 7.987
Dy Er Tb
3 5 4
Cartesian
-1.210 -2.480 4.699
-2.499 -6.320 3.500
-4.859 -1.654 6.661
-6.630 -3.953 8.443
-0.728 -4.022 1.718
-4.779 -7.045 8.203
-3.679 -3.987 5.080
-2.579 -0.929 1.958
-4.104 -4.214 1.436
-3.323 1.096 5.149
-4.036 -9.071 5.012
-3.255 -3.761 8.725



No. 3
PBE-GGA Tb12Dy2Er5, optimized geometry; space-group type = P-1, No. 2; calculated formation energy = 1.22 eV/f.u.; total DFT energy (no corrections) = -4.545 eV per atom; density of states at the Fermi level = 32.1 states/eV/f.u.; ΔE to the lowest computed polymorph = 0 meV/atom
1.0
-6.680 0.826 -0.320
4.273 -6.070 -6.023
2.846 -5.908 10.147
Tb Er Dy
12 5 2
Cartesian
1.387 -5.986 0.502
-0.949 -5.165 3.302
-0.388 -2.113 -1.897
3.536 -8.464 1.720
0.488 -2.628 1.407
4.321 -8.622 5.357
-3.098 -2.687 2.084
-2.865 -4.326 6.033
-3.883 -2.529 -1.553
0.827 -9.038 5.702
-0.049 -8.523 2.397
3.304 -6.825 -2.229
-1.728 -4.842 -0.039
2.166 -6.309 3.843
0.157 -5.432 -3.007
0.282 -5.719 6.811
1.423 -2.954 5.073
-1.773 -0.043 0.372
2.211 -11.107 3.432



No. 4
PBE-GGA Tb3DyEr4, optimized geometry; space-group type = Pmn2_1, No. 31; calculated formation energy = 0.04 eV/f.u.; total DFT energy (no corrections) = -4.588 eV per atom; density of states at the Fermi level = 13.0 states/eV/f.u.; ΔE to the lowest computed polymorph = 0 meV/atom
1.0
6.240 0.000 0.000
0.000 7.217 0.000
0.000 0.000 11.164
Er Tb Dy
8 6 2
Cartesian
4.044 0.890 5.582
3.000 6.324 8.371
6.120 0.893 2.789
0.924 6.326 0.000
3.000 6.324 2.793
6.120 0.893 8.375
4.043 0.895 0.000
0.923 6.322 5.582
3.003 2.698 2.793
3.003 2.698 8.371
6.122 4.519 8.375
4.040 4.520 0.000
6.122 4.519 2.789
0.920 2.697 5.582
0.922 2.698 0.000
4.042 4.519 5.582



No. 5
PBE-GGA Tb4DyEr5, optimized geometry; space-group type = P-1, No. 2; calculated formation energy = 0.58 eV/f.u.; total DFT energy (no corrections) = -4.536 eV per atom; density of states at the Fermi level = 17.5 states/eV/f.u.; ΔE to the lowest computed polymorph = 0 meV/atom
1.0
3.345 -0.529 -0.998
-1.207 6.539 -1.039
1.047 1.285 14.115
Dy Tb Er
1 4 5
Cartesian
1.672 -0.265 -0.499
0.289 2.049 2.299
2.668 1.870 10.290
2.895 5.246 9.778
0.517 5.425 1.788
2.111 6.081 6.562
2.851 3.780 3.916
1.073 1.214 5.516
1.069 3.005 -1.019
0.333 3.515 8.162



No. 6
PBE-GGA TbDyEr2, optimized geometry; space-group type = Pmc2_1, No. 26; calculated formation energy = 0.02 eV/f.u.; total DFT energy (no corrections) = -4.584 eV per atom; density of states at the Fermi level = 7.2 states/eV/f.u.; ΔE to the lowest computed polymorph = 0 meV/atom
1.0
5.326 -0.056 1.707
0.073 6.230 -0.022
3.127 -0.006 8.563
Tb Dy Er
2 2 4
Cartesian
4.097 5.848 6.811
4.609 2.721 5.111
6.196 4.786 9.387
2.486 1.689 2.542
3.510 2.739 8.537
1.972 4.822 4.245
5.195 5.817 3.385
6.710 1.664 7.684



No. 7
PBE-GGA Tb7Dy2Er4, optimized geometry; space-group type = P-31m, No. 162; calculated formation energy = 2.30 eV/f.u.; total DFT energy (no corrections) = -4.428 eV per atom; density of states at the Fermi level = 17.1 states/eV/f.u.
1.0
-2.926 -2.800 4.489
4.316 -2.911 -3.073
8.970 4.298 8.528
Er Dy Tb
4 2 7
Cartesian
9.758 -0.304 2.100
3.973 -0.688 6.232
0.603 -1.109 7.844
6.388 -0.725 3.712
1.902 -2.874 -0.553
-0.512 -2.837 1.968
2.848 -2.710 2.768
0.592 -2.912 5.242
0.000 0.000 0.000
0.903 -0.072 3.484
9.457 -1.341 6.460
7.513 1.297 7.176
9.769 1.499 4.701



No. 8
PBE-GGA TbDy5Er, optimized geometry; space-group type = C2/c, No. 15; calculated formation energy = 1.35 eV/f.u.; total DFT energy (no corrections) = -4.408 eV per atom; density of states at the Fermi level = 7.8 states/eV/f.u.; ΔE to the lowest computed polymorph = 0 meV/atom
1.0
-5.168 -3.906 1.751
0.403 -3.898 5.447
-7.228 3.523 10.886
Dy Er Tb
10 2 2
Cartesian
-6.055 -3.024 5.083
-5.263 -0.796 7.774
-6.730 -3.485 10.310
-10.491 -1.724 15.655
-8.192 -3.029 13.739
-3.800 -1.253 4.345
-1.501 -2.557 2.428
-6.138 0.511 10.635
-5.855 -4.792 7.449
-5.938 -1.257 13.001
0.000 0.000 0.000
-3.614 1.761 5.443
-2.954 -3.020 7.140
-9.038 -1.262 10.944